Below is crystalline CdHPt2Rh at its relaxed geometry, with properties calculated at the PBE level.

abc: 3.9291 3.9291 4.4074
angles: 90.00 90.00 90.00
Positions (direct):
H 0.0000 0.0000 0.0000
Pt 0.0000 0.5000 0.0000
Rh 0.5000 0.5000 0.5000
Cd 0.0000 0.0000 0.5000
Pt 0.5000 0.0000 0.0000

- energy above the lowest structure with this stoichiometry (meV/atom) = 128
- energy (eV per cell) = -23.503
- crystal system = tetragonal